[1]
Density functional theory data (PBE) for crystalline CrRhAu at its relaxed geometry.

The total energy is -19.80 eV for the cell shown. The value obtained for the formation energy from the elements is 0.15 eV per atom. As for the density of states at the Fermi level: 2.10 states/eV/f.u. Its magnetization is 0.0 μB/f.u.

The structure belongs to space group P3m1 (No. 156); the cell edges are 2.7454, 2.7454 and 6.7996 Å and the angles 90.00°, 90.00° and 120.00°. The inequivalent atoms are Cr at (0.0000, 0.0000, 0.0000), Rh at (0.6667, 0.3333, 0.2850) and Au at (0.3333, 0.6667, 0.6559).

***

[2]
Density functional theory data (PBE) for crystalline Tb4Nd2Dy5 at its relaxed geometry.

The total energy is -98.86 eV for the cell shown. The value obtained for the formation energy from the elements is 0.15 eV per atom. As for the density of states at the Fermi level: 20.15 states/eV/f.u. Its magnetization is 0.0 μB/f.u.

The structure belongs to space group C2/m (No. 12); the cell edges are 23.894, 3.468 and 8.751 Å and the angles 90.00°, 96.70° and 90.00°. The inequivalent atoms are Tb at (0.046, 0.000, 0.360), Tb at (0.178, 0.500, 0.472), Nd at (0.092, 0.000, 0.741), Dy at (0.000, 0.500, 0.000), Dy at (0.141, 0.000, 0.121) and Dy at (0.233, 0.000, 0.826).

***

[3]
Density functional theory data (PBE) for crystalline PrGe3Rh at its relaxed geometry.

The total energy is -58.21 eV for the cell shown. The value obtained for the formation energy from the elements is -0.62 eV per atom. As for the density of states at the Fermi level: 2.70 states/eV/f.u. Its magnetization is 0.0 μB/f.u.

The structure belongs to space group Pmn2_1 (No. 31); the cell edges are 6.111, 5.768 and 5.873 Å and the angles 90.00°, 90.00° and 90.00°. The inequivalent atoms are Pr at (0.000, 0.141, 0.000), Ge at (0.000, 0.920, 0.542), Ge at (0.231, 0.326, 0.464) and Rh at (0.000, 0.616, 0.264).

***

[4]
Density functional theory data (PBE) for crystalline CaMo2Br at its relaxed geometry.

The total energy is -25.03 eV for the cell shown. As for the density of states at the Fermi level: 4.14 states/eV/f.u. The calculation puts the uncorrected formation energy at 0.076 eV per atom. Its magnetization is 0.5 μB/f.u.

The structure belongs to space group P4mm (No. 99); the cell edges are 3.322, 3.322 and 8.307 Å and the angles 90.00°, 90.00° and 90.00°. The inequivalent atoms are Ca at (0.000, 0.000, 0.000), Mo at (0.000, 0.000, 0.417), Mo at (0.500, 0.500, 0.283) and Br at (0.500, 0.500, 0.779).

***

Taking the records one at a time from the top gives V values of 14.79; 32.73; 20.70; 22.92 Å³ per atom.